Record 1
# NaYPt4 | Alexandria | PBE | optimized geometry
data_NaYPt4
_chemical_formula_sum 'Na4 Y4 Pt16'
_cell_length_a 7.633
_cell_length_b 7.633
_cell_length_c 7.633
_cell_angle_alpha 90.00
_cell_angle_beta 90.00
_cell_angle_gamma 90.00
_space_group_name_H-M_alt 'F -4 3 m'
_space_group_IT_number 216
_space_group_name_Hall 'F -4 2 3'
loop_
_atom_site_label
_atom_site_type_symbol
_atom_site_fract_x
_atom_site_fract_y
_atom_site_fract_z
_atom_site_occupancy
Na1 Na 0.000 0.000 0.000 1
Y1 Y 0.250 0.250 0.750 1
Pt1 Pt 0.125 0.125 0.375 1
# M_tot = 0.000 μB/atom
# VASP energy = -147.29 eV/cell
# crystal system = cubic

---

Record 2
# TbEuTlAu | Alexandria | PBE | optimized geometry
data_TbEuTlAu
_chemical_formula_sum 'Tb4 Eu4 Tl4 Au4'
_cell_length_a 7.559
_cell_length_b 7.559
_cell_length_c 7.559
_cell_angle_alpha 90.00
_cell_angle_beta 90.00
_cell_angle_gamma 90.00
_space_group_name_H-M_alt 'F -4 3 m'
_space_group_IT_number 216
_space_group_name_Hall 'F -4 2 3'
loop_
_atom_site_label
_atom_site_type_symbol
_atom_site_fract_x
_atom_site_fract_y
_atom_site_fract_z
_atom_site_occupancy
Tb1 Tb 0.000 0.000 0.000 1
Eu1 Eu 0.000 0.000 0.500 1
Tl1 Tl 0.250 0.250 0.750 1
Au1 Au 0.250 0.250 0.250 1
# M_tot = 1.711 μB/atom
# VASP energy = -90.84 eV/cell
# crystal system = cubic

---

Record 3
# CrTcGe2 | Alexandria | PBE | optimized geometry
data_CrTcGe2
_chemical_formula_sum 'Cr1 Tc1 Ge2'
_cell_length_a 3.070
_cell_length_b 3.070
_cell_length_c 6.091
_cell_angle_alpha 90.00
_cell_angle_beta 90.00
_cell_angle_gamma 90.00
_space_group_name_H-M_alt 'P 4/m m m'
_space_group_IT_number 123
_space_group_name_Hall '-P 4 2'
loop_
_atom_site_label
_atom_site_type_symbol
_atom_site_fract_x
_atom_site_fract_y
_atom_site_fract_z
_atom_site_occupancy
Cr1 Cr 0.000 0.000 0.000 1
Tc1 Tc 0.000 0.000 0.500 1
Ge1 Ge 0.500 0.500 0.258 1
# M_tot = 0.594 μB/atom
# excess energy over the best structure of this formula in the dataset = 53 meV/atom
# VASP energy = -29.01 eV/cell
# crystal system = tetragonal

---

Record 4
# Tl4HgPb3 | Alexandria | PBE | optimized geometry
data_Tl4HgPb3
_chemical_formula_sum 'Tl8 Hg2 Pb6'
_cell_length_a 23.037
_cell_length_b 3.607
_cell_length_c 5.814
_cell_angle_alpha 90.00
_cell_angle_beta 90.19
_cell_angle_gamma 90.00
_space_group_name_H-M_alt 'C 1 2/m 1'
_space_group_IT_number 12
loop_
_space_group_symop_operation_xyz
'x,y,z'
'-x,-y,-z'
'-x,y,-z'
'x,-y,z'
'x+1/2,y+1/2,z'
'-x+1/2,-y+1/2,-z'
'-x+1/2,y+1/2,-z'
'x+1/2,-y+1/2,z'
loop_
_atom_site_label
_atom_site_type_symbol
_atom_site_fract_x
_atom_site_fract_y
_atom_site_fract_z
_atom_site_occupancy
Tl1 Tl 0.126 0.000 0.129 1
Tl2 Tl 0.245 0.000 0.747 1
Hg1 Hg 0.000 0.000 0.500 1
Pb1 Pb 0.000 0.500 0.000 1
Pb2 Pb 0.118 0.500 0.623 1
# M_tot = 0.000 μB/atom
# excess energy over the best structure of this formula in the dataset = 15 meV/atom
# VASP energy = -41.47 eV/cell
# crystal system = monoclinic

---

Record 5
# KNa2CN2 | Alexandria | PBE | optimized geometry
data_KNa2CN2
_chemical_formula_sum 'K2 Na4 C2 N4'
_cell_length_a 4.459
_cell_length_b 17.508
_cell_length_c 3.617
_cell_angle_alpha 90.00
_cell_angle_beta 90.00
_cell_angle_gamma 90.00
_space_group_name_H-M_alt 'P n n m'
_space_group_IT_number 58
loop_
_space_group_symop_operation_xyz
'x,y,z'
'-x,-y,-z'
'-x,-y,z'
'x,y,-z'
'x+1/2,-y+1/2,-z+1/2'
'-x+1/2,y+1/2,z+1/2'
'-x+1/2,y+1/2,-z+1/2'
'x+1/2,-y+1/2,z+1/2'
loop_
_atom_site_label
_atom_site_type_symbol
_atom_site_fract_x
_atom_site_fract_y
_atom_site_fract_z
_atom_site_occupancy
K1 K 0.000 0.000 0.000 1
Na1 Na 0.016 0.337 0.500 1
C1 C 0.000 0.500 0.000 1
N1 N 0.023 0.429 0.000 1
# formation energy from raw total energies = -0.31 eV/atom
# M_tot = 0.000 μB/atom
# VASP energy = -62.93 eV/cell
# crystal system = orthorhombic

---

Record 6
# KMnS2N | Alexandria | PBE | optimized geometry
data_KMnS2N
_chemical_formula_sum 'K1 Mn1 S2 N1'
_cell_length_a 5.277
_cell_length_b 5.277
_cell_length_c 4.252
_cell_angle_alpha 90.00
_cell_angle_beta 90.00
_cell_angle_gamma 90.00
_space_group_name_H-M_alt 'P 4/m m m'
_space_group_IT_number 123
_space_group_name_Hall '-P 4 2'
loop_
_atom_site_label
_atom_site_type_symbol
_atom_site_fract_x
_atom_site_fract_y
_atom_site_fract_z
_atom_site_occupancy
K1 K 0.000 0.000 0.000 1
Mn1 Mn 0.500 0.500 0.500 1
S1 S 0.000 0.500 0.000 1
N1 N 0.000 0.000 0.500 1
# formation energy from raw total energies = 2.56 eV/atom
# M_tot = 0.008 μB/atom
# excess energy over the best structure of this formula in the dataset = 2641 meV/atom
# VASP energy = -14.05 eV/cell
# crystal system = tetragonal

---

Record 7
# La2PmPr4Nd2 | Alexandria | PBE | optimized geometry
data_La2PmPr4Nd2
_chemical_formula_sum 'La4 Pm2 Pr8 Nd4'
_cell_length_a 19.425
_cell_length_b 3.739
_cell_length_c 9.947
_cell_angle_alpha 90.00
_cell_angle_beta 115.70
_cell_angle_gamma 90.00
_space_group_name_H-M_alt 'C 1 2/m 1'
_space_group_IT_number 12
loop_
_space_group_symop_operation_xyz
'x,y,z'
'-x,-y,-z'
'-x,y,-z'
'x,-y,z'
'x+1/2,y+1/2,z'
'-x+1/2,-y+1/2,-z'
'-x+1/2,y+1/2,-z'
'x+1/2,-y+1/2,z'
loop_
_atom_site_label
_atom_site_type_symbol
_atom_site_fract_x
_atom_site_fract_y
_atom_site_fract_z
_atom_site_occupancy
La1 La 0.166 0.000 0.499 1
Pm1 Pm 0.000 0.500 0.500 1
Pr1 Pr 0.018 0.000 0.832 1
Pr2 Pr 0.185 0.500 0.832 1
Nd1 Nd 0.149 0.500 0.168 1
# M_tot = 0.000 μB/atom
# VASP energy = -86.37 eV/cell
# crystal system = monoclinic

---

Record 8
# CoMo2Ir | Alexandria | PBE | optimized geometry
data_CoMo2Ir
_chemical_formula_sum 'Co2 Mo4 Ir2'
_cell_length_a 8.902
_cell_length_b 2.736
_cell_length_c 4.765
_cell_angle_alpha 90.00
_cell_angle_beta 99.96
_cell_angle_gamma 90.00
_space_group_name_H-M_alt 'C 1 m 1'
_space_group_IT_number 8
loop_
_space_group_symop_operation_xyz
'x,y,z'
'x,-y,z'
'x+1/2,y+1/2,z'
'x+1/2,-y+1/2,z'
loop_
_atom_site_label
_atom_site_type_symbol
_atom_site_fract_x
_atom_site_fract_y
_atom_site_fract_z
_atom_site_occupancy
Co1 Co 0.000 0.000 0.000 1
Mo1 Mo 0.004 0.500 0.499 1
Mo2 Mo 0.241 0.500 0.195 1
Ir1 Ir 0.255 0.000 0.722 1
# M_tot = 0.000 μB/atom
# excess energy over the best structure of this formula in the dataset = 105 meV/atom
# VASP energy = -75.48 eV/cell
# crystal system = monoclinic

---

Record 9
# Rb3TaI8 | Alexandria | PBE | optimized geometry
data_Rb3TaI8
_chemical_formula_sum 'Rb6 Ta2 I16'
_cell_length_a 11.0615
_cell_length_b 11.0615
_cell_length_c 10.7350
_cell_angle_alpha 90.00
_cell_angle_beta 90.00
_cell_angle_gamma 120.00
_space_group_name_H-M_alt 'P 63 m c'
_space_group_IT_number 186
_space_group_name_Hall 'P 6c -2c'
loop_
_atom_site_label
_atom_site_type_symbol
_atom_site_fract_x
_atom_site_fract_y
_atom_site_fract_z
_atom_site_occupancy
Rb1 Rb 0.1498 0.2995 0.0000 1
Ta1 Ta 0.3333 0.6667 0.4582 1
I1 I 0.0000 0.0000 0.2642 1
I2 I 0.0972 0.5486 0.3160 1
I3 I 0.2154 0.4309 0.6153 1
I4 I 0.3333 0.6667 0.9763 1
# formation energy from raw total energies = -0.93 eV/atom
# M_tot = 0.000 μB/atom
# VASP energy = -76.57 eV/cell
# crystal system = hexagonal

---

Record 10
# Er2ThAl | Alexandria | PBE | optimized geometry
data_Er2ThAl
_chemical_formula_sum 'Er6 Th3 Al3'
_cell_length_a 3.5203
_cell_length_b 3.5203
_cell_length_c 31.5529
_cell_angle_alpha 90.00
_cell_angle_beta 90.00
_cell_angle_gamma 120.00
_space_group_name_H-M_alt 'R 3 m'
_space_group_IT_number 160
_space_group_name_Hall 'R 3 -2"'
loop_
_atom_site_label
_atom_site_type_symbol
_atom_site_fract_x
_atom_site_fract_y
_atom_site_fract_z
_atom_site_occupancy
Er1 Er 0.0000 0.0000 0.0000 1
Er2 Er 0.0000 0.0000 0.1880 1
Th1 Th 0.0000 0.0000 0.7604 1
Al1 Al 0.0000 0.0000 0.5944 1
# M_tot = 0.000 μB/atom
# excess energy over the best structure of this formula in the dataset = 143 meV/atom
# VASP energy = -61.43 eV/cell
# crystal system = trigonal

---

Record 11
# Rb8BiAu2 | Alexandria | PBE | optimized geometry
data_Rb8BiAu2
_chemical_formula_sum 'Rb16 Bi2 Au4'
_cell_length_a 6.066
_cell_length_b 9.878
_cell_length_c 18.112
_cell_angle_alpha 90.00
_cell_angle_beta 90.00
_cell_angle_gamma 90.00
_space_group_name_H-M_alt 'I m m m'
_space_group_IT_number 71
_space_group_name_Hall '-I 2 2'
loop_
_atom_site_label
_atom_site_type_symbol
_atom_site_fract_x
_atom_site_fract_y
_atom_site_fract_z
_atom_site_occupancy
Rb1 Rb 0.000 0.000 0.140 1
Rb2 Rb 0.000 0.221 0.341 1
Rb3 Rb 0.000 0.305 0.000 1
Bi1 Bi 0.000 0.500 0.500 1
Au1 Au 0.000 0.500 0.180 1
# M_tot = 0.000 μB/atom
# excess energy over the best structure of this formula in the dataset = 28 meV/atom
# VASP energy = -39.78 eV/cell
# crystal system = orthorhombic

---

Record 12
# Y2InAu | Alexandria | PBE | optimized geometry
data_Y2InAu
_chemical_formula_sum 'Y4 In2 Au2'
_cell_length_a 3.656
_cell_length_b 5.004
_cell_length_c 11.145
_cell_angle_alpha 90.00
_cell_angle_beta 90.00
_cell_angle_gamma 90.00
_space_group_name_H-M_alt 'I m m 2'
_space_group_IT_number 44
loop_
_space_group_symop_operation_xyz
'x,y,z'
'-x,-y,z'
'-x,y,z'
'x,-y,z'
'x+1/2,y+1/2,z+1/2'
'-x+1/2,-y+1/2,z+1/2'
'-x+1/2,y+1/2,z+1/2'
'x+1/2,-y+1/2,z+1/2'
loop_
_atom_site_label
_atom_site_type_symbol
_atom_site_fract_x
_atom_site_fract_y
_atom_site_fract_z
_atom_site_occupancy
Y1 Y 0.000 0.000 0.000 1
Y2 Y 0.000 0.500 0.221 1
In1 In 0.000 0.000 0.434 1
Au1 Au 0.000 0.500 0.725 1
# M_tot = 0.000 μB/atom
# VASP energy = -42.47 eV/cell
# crystal system = orthorhombic

---

Record 13
# Sc3GeI3 | Alexandria | PBE | optimized geometry
data_Sc3GeI3
_chemical_formula_sum 'Sc24 Ge8 I24'
_cell_length_a 11.637
_cell_length_b 11.637
_cell_length_c 11.637
_cell_angle_alpha 90.00
_cell_angle_beta 90.00
_cell_angle_gamma 90.00
_space_group_name_H-M_alt 'I 41 3 2'
_space_group_IT_number 214
_space_group_name_Hall 'I 4bd 2c 3'
loop_
_atom_site_label
_atom_site_type_symbol
_atom_site_fract_x
_atom_site_fract_y
_atom_site_fract_z
_atom_site_occupancy
Sc1 Sc 0.104 0.354 0.125 1
Ge1 Ge 0.125 0.125 0.125 1
I1 I 0.122 0.128 0.625 1
# formation energy from raw total energies = -1.00 eV/atom
# M_tot = 0.000 μB/atom
# VASP energy = -282.02 eV/cell
# crystal system = cubic

---

Record 14
# La2Ni4SnGe3 | Alexandria | PBE | optimized geometry
data_La2Ni4SnGe3
_chemical_formula_sum 'La2 Ni4 Sn1 Ge3'
_cell_length_a 4.272
_cell_length_b 4.272
_cell_length_c 9.956
_cell_angle_alpha 90.00
_cell_angle_beta 90.00
_cell_angle_gamma 90.00
_space_group_name_H-M_alt 'P -4 m 2'
_space_group_IT_number 115
loop_
_space_group_symop_operation_xyz
'x,y,z'
'y,-x,-z'
'-x,-y,z'
'-y,x,-z'
'-x,y,z'
'-y,-x,-z'
'x,-y,z'
'y,x,-z'
loop_
_atom_site_label
_atom_site_type_symbol
_atom_site_fract_x
_atom_site_fract_y
_atom_site_fract_z
_atom_site_occupancy
La1 La 0.000 0.500 0.237 1
Ni1 Ni 0.000 0.000 0.000 1
Ni2 Ni 0.000 0.500 0.639 1
Ni3 Ni 0.500 0.500 0.000 1
Sn1 Sn 0.000 0.000 0.500 1
Ge1 Ge 0.000 0.500 0.880 1
Ge2 Ge 0.500 0.500 0.500 1
# M_tot = 0.000 μB/atom
# VASP energy = -57.39 eV/cell
# crystal system = tetragonal

---

Record 15
# KBeAg2 | Alexandria | PBE | optimized geometry
data_KBeAg2
_chemical_formula_sum 'K1 Be1 Ag2'
_cell_length_a 3.004
_cell_length_b 4.591
_cell_length_c 6.800
_cell_angle_alpha 90.00
_cell_angle_beta 101.98
_cell_angle_gamma 90.00
_space_group_name_H-M_alt 'P 1 m 1'
_space_group_IT_number 6
loop_
_space_group_symop_operation_xyz
'x,y,z'
'x,-y,z'
loop_
_atom_site_label
_atom_site_type_symbol
_atom_site_fract_x
_atom_site_fract_y
_atom_site_fract_z
_atom_site_occupancy
K1 K 0.000 0.000 0.000 1
Be1 Be 0.317 0.500 0.640 1
Ag1 Ag 0.273 0.000 0.525 1
Ag2 Ag 0.689 0.500 0.359 1
# M_tot = 0.000 μB/atom
# VASP energy = -9.09 eV/cell
# crystal system = monoclinic

---

Record 16
# SrTlP3 | Alexandria | PBE | optimized geometry
data_SrTlP3
_chemical_formula_sum 'Sr1 Tl1 P3'
_cell_length_a 5.179
_cell_length_b 5.179
_cell_length_c 5.179
_cell_angle_alpha 90.00
_cell_angle_beta 90.00
_cell_angle_gamma 90.00
_space_group_name_H-M_alt 'P m -3 m'
_space_group_IT_number 221
_space_group_name_Hall '-P 4 2 3'
loop_
_atom_site_label
_atom_site_type_symbol
_atom_site_fract_x
_atom_site_fract_y
_atom_site_fract_z
_atom_site_occupancy
Sr1 Sr 0.000 0.000 0.000 1
Tl1 Tl 0.500 0.500 0.500 1
P1 P 0.000 0.500 0.500 1
# M_tot = 0.000 μB/atom
# excess energy over the best structure of this formula in the dataset = 0 meV/atom
# VASP energy = -17.56 eV/cell
# crystal system = cubic